Run 1
DFT (PBE) results for crystalline La4Tl at its relaxed geometry.

## Properties
Calculated volume, Å³ per atom: 33.3
Magnetization, μB per formula unit: 0.00
Fermi-level density of states, states/eV per cell: 24.1
Theoretical density, g/cm3: 7.6

Cell: 11.5468 4.9898 11.5520 Å, 90.00 90.01 90.00°
With the nearest neighbours (Å) after each atom.
Space group C2/m (No. 12)
One atom of each set of equivalent atoms:
La  0.0413  0.0000  0.1575 [4 per cell]  9 La 3.42-3.76, 3 Tl 3.53-3.63
La  0.0418  0.5000  0.6576 [4 per cell]  9 La 3.42-3.77, 3 Tl 3.53-3.63
La  0.1575  0.0000  0.4585 [4 per cell]  9 La 3.42-3.76, 3 Tl 3.53-3.63
La  0.1576  0.5000  0.9586 [4 per cell]  9 La 3.42-3.76, 3 Tl 3.53-3.63
Tl  0.2503  0.0000  0.7500 [4 per cell]  12 La 3.53-3.63

---

Run 2
DFT (PBE) results for crystalline La4Tl at its relaxed geometry.

## Properties
Calculated volume, Å³ per atom: 44.9
Magnetization, μB per formula unit: 0.22
Fermi-level density of states, states/eV per cell: 10.5
Theoretical density, g/cm3: 5.6

Cell: 6.0777 6.0777 6.0777 Å, 90.00 90.00 90.00°
With the nearest neighbours (Å) after each atom.
Space group Pm-3m (No. 221)
One atom of each set of equivalent atoms:
La  0.0000  0.0000  0.0000 [1 per cell]  12 La 4.30
La  0.0000  0.5000  0.5000 [3 per cell]  2 Tl 3.04
Tl  0.5000  0.5000  0.5000 [1 per cell]  6 La 3.04

---

Run 3
DFT (PBE) results for crystalline La4Tl at its relaxed geometry.

## Properties
Calculated volume, Å³ per atom: 33.7
Magnetization, μB per formula unit: 0.00
Fermi-level density of states, states/eV per cell: 12.7
Theoretical density, g/cm3: 7.5

Cell: 6.3985 6.1579 9.4317 Å, 90.00 114.95 90.00°
With the nearest neighbours (Å) after each atom.
Space group P2_1/c (No. 14)
One atom of each set of equivalent atoms:
La  0.0637  0.1076  0.1940 [4 per cell]  7 La 3.35-3.68, 1 Tl 3.35
La  0.3287  0.5205  0.1058 [4 per cell]  5 La 3.35-3.68, 3 Tl 3.41-3.66
Tl  0.5000  0.0000  0.0000 [2 per cell]  8 La 3.35-3.66

---

Run 4
DFT (PBE) results for crystalline La4Tl at its relaxed geometry.

## Properties
Calculated volume, Å³ per atom: 41.2
Magnetization, μB per formula unit: 1.57
Fermi-level density of states, states/eV per cell: 17.8
Theoretical density, g/cm3: 6.1

Cell: 7.4432 7.4432 7.4432 Å, 90.00 90.00 90.00°
With the nearest neighbours (Å) after each atom.
Space group Im-3m (No. 229)
One atom of each set of equivalent atoms:
La  0.2500  0.2500  0.2500 [8 per cell]  2 Tl 3.22
Tl  0.0000  0.0000  0.0000 [2 per cell]  8 La 3.22

---

The winner here is run 1, beating the second structure by 37 meV/atom.

---

Run 1
DFT (PBE) results for crystalline La3Tl2 at its relaxed geometry.

## Properties
Calculated volume, Å³ per atom: 35.5
Magnetization, μB per formula unit: 0.00
Fermi-level density of states, states/eV per cell: 7.3
Theoretical density, g/cm3: 7.7

Cell: 5.4980 5.4980 6.7736 Å, 90.00 90.00 120.00°
With the nearest neighbours (Å) after each atom.
Space group P-3m1 (No. 164)
One atom of each set of equivalent atoms:
La  0.0000  0.0000  0.0000 [1 per cell]  6 Tl 3.37
La  0.3333  0.6667  0.3472 [2 per cell]  5 Tl 3.30-3.47
Tl  0.3333  0.6667  0.8342 [2 per cell]  8 La 3.30-3.47

---

Run 2
DFT (PBE) results for crystalline La3Tl2 at its relaxed geometry.

## Properties
Calculated volume, Å³ per atom: 33.9
Magnetization, μB per formula unit: 0.00
Fermi-level density of states, states/eV per cell: 16.0
Theoretical density, g/cm3: 8.1

Cell: 3.8242 3.8242 40.1586 Å, 90.00 90.00 120.00°
With the nearest neighbours (Å) after each atom.
Space group R-3m (No. 166, hexagonal axes)
One atom of each set of equivalent atoms:
La  0.0000  0.0000  0.0000 [3 per cell]  6 Tl 3.43, 6 La 3.82
La  0.0000  0.0000  0.2028 [6 per cell]  3 Tl 3.42, 9 La 3.65-3.82
Tl  0.0000  0.0000  0.3988 [6 per cell]  6 La 3.42-3.43, 6 Tl 3.82

---

The winner here is run 1, beating the second structure by 24 meV/atom.

---

Run 1
DFT (PBE) results for crystalline LaTmTl at its relaxed geometry.

## Properties
Calculated volume, Å³ per atom: 29.9
Magnetization, μB per formula unit: 0.00
Fermi-level density of states, states/eV per cell: 7.8
Theoretical density, g/cm3: 9.5

Cell: 5.4972 5.4972 6.8588 Å, 90.00 90.00 120.00°
With the nearest neighbours (Å) after each atom.
Space group P6_3/mmc (No. 194)
One atom of each set of equivalent atoms:
La  0.0000  0.0000  0.0000 [2 per cell]  2 La 3.43, 6 Tl 3.61, 6 Tm 3.61
Tm  0.3333  0.6667  0.2500 [2 per cell]  5 Tl 3.17-3.43
Tl  0.3333  0.6667  0.7500 [2 per cell]  5 Tm 3.17-3.43

---

Run 2
DFT (PBE) results for crystalline LaTmTl at its relaxed geometry.

## Properties
Calculated volume, Å³ per atom: 31.1
Magnetization, μB per formula unit: 0.00
Fermi-level density of states, states/eV per cell: 6.4
Theoretical density, g/cm3: 9.1

Cell: 3.6795 3.6795 13.7683 Å, 90.00 90.00 90.00°
With the nearest neighbours (Å) after each atom.
Space group I4mm (No. 107)
One atom of each set of equivalent atoms:
La  0.0000  0.0000  0.0000 [2 per cell]  4 Tl 3.49, 4 La 3.68, 4 Tm 3.69
Tm  0.0000  0.0000  0.6900 [2 per cell]  4 Tl 3.25
Tl  0.0000  0.0000  0.3312 [2 per cell]  4 Tm 3.25, 4 La 3.49

---

The winner here is run 1, beating the second structure by 37 meV/atom.

---

Run 1
DFT (PBE) results for crystalline La3Tm2Tl4 at its relaxed geometry.

## Properties
Calculated volume, Å³ per atom: 30.1
Magnetization, μB per formula unit: 0.00
Fermi-level density of states, states/eV per cell: 19.1
Theoretical density, g/cm3: 9.6

Cell: 9.4193 5.4339 10.5748 Å, 90.00 90.08 90.00°
With the nearest neighbours (Å) after each atom.
Space group C2/m (No. 12)
One atom of each set of equivalent atoms:
La  0.0000  0.0000  0.0000 [2 per cell]  8 Tl 3.32-3.59
La  0.1672  0.5000  0.5793 [4 per cell]  4 Tl 3.25-3.37, 3 La 3.55-3.57
Tm  0.1662  0.5000  0.2191 [4 per cell]  7 Tl 3.37-3.40
Tl  0.0006  0.0000  0.6607 [4 per cell]  4 La 3.25-3.59, 3 Tm 3.38-3.39, 1 Tl 3.40
Tl  0.1669  0.5000  0.8976 [4 per cell]  4 La 3.32-3.37, 4 Tm 3.37-3.40

---

Run 2
DFT (PBE) results for crystalline La3Tm2Tl4 at its relaxed geometry.

## Properties
Calculated volume, Å³ per atom: 30.6
Magnetization, μB per formula unit: 0.20
Fermi-level density of states, states/eV per cell: 35.8
Theoretical density, g/cm3: 9.5

Cell: 15.8232 11.1129 6.2981 Å, 90.00 96.08 90.00°
With the nearest neighbours (Å) after each atom.
Space group C2/c (No. 15)
One atom of each set of equivalent atoms:
La  0.0000  0.0386  0.2500 [4 per cell]  2 La 3.26, 6 Tl 3.50-3.63
La  0.1098  0.4004  0.4320 [8 per cell]  6 Tl 3.33-3.54, 1 Tm 3.60
Tm  0.2212  0.1304  0.1413 [8 per cell]  5 Tl 3.01-3.36
Tl  0.0725  0.2865  0.9394 [8 per cell]  1 Tm 3.09, 2 Tl 3.13-3.16, 2 La 3.33-3.35
Tl  0.1741  0.1324  0.6287 [8 per cell]  4 Tm 3.01-3.36, 1 Tl 3.16, 1 La 3.34

---

The winner here is run 1, beating the second structure by 43 meV/atom.

---

Run 1
DFT (PBE) results for crystalline La3TmTl2 at its relaxed geometry.

## Properties
Calculated volume, Å³ per atom: 31.7
Magnetization, μB per formula unit: 0.00
Fermi-level density of states, states/eV per cell: 14.3
Theoretical density, g/cm3: 8.7

Cell: 5.2331 10.5624 6.8917 Å, 90.00 90.00 90.00°
With the nearest neighbours (Å) after each atom.
Space group Pmc2_1 (No. 26)
One atom of each set of equivalent atoms:
La  0.0000  0.0476  0.0000 [2 per cell]  4 La 3.38-3.59, 5 Tl 3.41-3.59
La  0.0000  0.3179  0.3981 [2 per cell]  5 Tl 3.25-3.61, 2 Tm 3.55
La  0.5000  0.1897  0.7777 [2 per cell]  5 Tl 3.34-3.54, 2 La 3.38
Tm  0.5000  0.4628  0.1310 [2 per cell]  5 Tl 3.27-3.59, 2 Tm 3.53, 2 La 3.55
Tl  0.0000  0.3746  0.8816 [2 per cell]  6 La 3.25-3.61, 4 Tm 3.27-3.57
Tl  0.5000  0.1378  0.2850 [2 per cell]  9 La 3.33-3.59, 1 Tm 3.59

---

Run 2
DFT (PBE) results for crystalline La3TmTl2 at its relaxed geometry.

## Properties
Calculated volume, Å³ per atom: 33.2
Magnetization, μB per formula unit: 1.13
Fermi-level density of states, states/eV per cell: 31.4
Theoretical density, g/cm3: 8.3

Cell: 6.8504 17.1183 6.7968 Å, 90.00 90.00 90.00°
With the nearest neighbours (Å) after each atom.
Space group Ibam (No. 72)
One atom of each set of equivalent atoms:
La  0.0000  0.0000  0.2500 [4 per cell]  4 Tl 3.36, 2 La 3.40, 2 Tm 3.43
La  0.2501  0.1767  0.0000 [8 per cell]  5 Tl 3.27-3.60
Tm  0.0000  0.5000  0.2500 [4 per cell]  4 Tl 3.27, 2 Tm 3.40, 2 La 3.43
Tl  0.2367  0.3675  0.0000 [8 per cell]  2 Tm 3.27, 7 La 3.27-3.60

---

The winner here is run 1, beating the second structure by 25 meV/atom.